1.
# Na2CaBi

A relaxed structure of Na2CaBi (PBE, Alexandria).

Results
- Formation energy from the elements: 6.15 kJ per mole of atoms
- VASP energy: -2.07 eV per atom
- Density: 3.34 g cm⁻³
- Fermi-level density of states: 0.7857 states/eV per atom

Cell: 3.6433 3.6433 12.9152 Å, 81.89 81.89 60.00°
With the nearest neighbours (Å) after each atom.
Sites, in units of the cell vectors:
Na1 0.0815 0.0815 0.7556  1 Bi 3.11
Na2 0.9185 0.9185 0.2444  1 Bi 3.11
Ca1 0.5000 0.5000 0.5000  6 Ca 3.64, 6 Na 3.88
Bi1 0.0000 0.0000 0.0000  2 Na 3.11

***

2.
# Na3Ca4Bi4

A relaxed structure of Na3Ca4Bi4 (PBE, Alexandria).

Results
- Formation energy from the elements: -53.07 kJ per mole of atoms
- VASP energy: -3.05 eV per atom
- Density: 4.52 g cm⁻³
- Fermi-level density of states: 0.2219 states/eV per atom

Cell: 4.7982 8.9849 10.4144 Å, 115.55 103.32 90.00°
With the nearest neighbours (Å) after each atom.
Sites, in units of the cell vectors:
Na1 0.0885 0.0885 0.1769  1 Na 3.21, 4 Bi 3.43
Na2 0.9115 0.9115 0.8231  1 Na 3.21, 4 Bi 3.43
Na3 0.0000 0.5000 0.0000  4 Bi 3.57
Ca1 0.3342 0.1287 0.6684  4 Bi 3.12-3.25
Ca2 0.6658 0.4603 0.3316  4 Bi 3.12-3.25
Ca3 0.6658 0.8713 0.3316  4 Bi 3.12-3.25
Ca4 0.3342 0.5397 0.6684  4 Bi 3.12-3.25
Bi1 0.2314 0.7314 0.4627  6 Ca 3.24-3.25
Bi2 0.7686 0.2686 0.5373  6 Ca 3.24-3.25
Bi3 0.5000 0.7939 0.0000  2 Ca 3.12, 4 Na 3.43
Bi4 0.5000 0.2061 0.0000  2 Ca 3.12, 4 Na 3.43

***

3.
# NaCaBi2

A relaxed structure of NaCaBi2 (PBE, Alexandria).

Results
- Polymorph energy (0 for the lowest one): 7.3 kJ/mol of atoms
- Formation energy from the elements: -44.48 kJ per mole of atoms
- VASP energy: -3.23 eV per atom
- Density: 6.57 g cm⁻³
- Fermi-level density of states: 0.5601 states/eV per atom

Cell: 5.5602 5.5602 5.5602 Å, 60.00 60.00 60.00°
With the nearest neighbours (Å) after each atom.
Sites, in units of the cell vectors:
Na1 0.0000 0.0000 0.0000  8 Bi 3.40
Ca1 0.5000 0.5000 0.5000  8 Bi 3.40
Bi1 0.2500 0.2500 0.2500  4 Na 3.40, 4 Ca 3.40
Bi2 0.7500 0.7500 0.7500  4 Na 3.40, 4 Ca 3.40

***

4.
# Na2Ca3Bi3

A relaxed structure of Na2Ca3Bi3 (PBE, Alexandria).

Results
- Formation energy from the elements: -62.41 kJ per mole of atoms
- VASP energy: -3.18 eV per atom
- Density: 4.96 g cm⁻³
- Fermi-level density of states: 0.8771 states/eV per atom

Cell: 6.6809 9.5805 9.5806 Å, 120.00 90.00 90.00°
With the nearest neighbours (Å) after each atom.
Sites, in units of the cell vectors:
Na1 0.0000 0.3333 0.6667  2 Na 3.34, 6 Bi 3.48
Na2 0.5000 0.6667 0.3333  2 Na 3.34, 6 Bi 3.48
Na3 0.0000 0.6667 0.3333  2 Na 3.34, 6 Bi 3.48
Na4 0.5000 0.3333 0.6667  2 Na 3.34, 6 Bi 3.48
Ca1 0.7500 0.2943 0.0000  5 Bi 3.21-3.41
Ca2 0.7500 0.7057 0.7057  5 Bi 3.21-3.41
Ca3 0.7500 0.0000 0.2943  5 Bi 3.21-3.41
Ca4 0.2500 0.7057 0.0000  5 Bi 3.21-3.41
Ca5 0.2500 0.2943 0.2943  5 Bi 3.21-3.41
Ca6 0.2500 0.0000 0.7057  5 Bi 3.21-3.41
Bi1 0.7500 0.6360 0.0000  5 Ca 3.21-3.41, 4 Na 3.48
Bi2 0.7500 0.3640 0.3640  5 Ca 3.21-3.41, 4 Na 3.48
Bi3 0.7500 0.0000 0.6360  5 Ca 3.21-3.41, 4 Na 3.48
Bi4 0.2500 0.3640 0.0000  5 Ca 3.21-3.41, 4 Na 3.48
Bi5 0.2500 0.6360 0.6360  5 Ca 3.21-3.41, 4 Na 3.48
Bi6 0.2500 0.0000 0.3640  5 Ca 3.21-3.41, 4 Na 3.48

***

5.
# NaCa3Bi

A relaxed structure of NaCa3Bi (PBE, Alexandria).

Results
- Polymorph energy (0 for the lowest one): 0.0 kJ/mol of atoms
- Formation energy from the elements: -18.60 kJ per mole of atoms
- VASP energy: -2.43 eV per atom
- Density: 2.53 g cm⁻³
- Fermi-level density of states: 0.8306 states/eV per atom

Cell: 6.1381 6.1381 6.1381 Å, 90.00 90.00 90.00°
With the nearest neighbours (Å) after each atom.
Sites, in units of the cell vectors:
Na1 0.5000 0.5000 0.5000  12 Ca 4.34
Ca1 0.0000 0.5000 0.0000  2 Bi 3.07
Ca2 0.0000 0.0000 0.5000  2 Bi 3.07
Ca3 0.5000 0.0000 0.0000  2 Bi 3.07
Bi1 0.0000 0.0000 0.0000  6 Ca 3.07

***

6.
# Na3Ca2Bi4

A relaxed structure of Na3Ca2Bi4 (PBE, Alexandria).

Results
- Formation energy from the elements: -46.39 kJ per mole of atoms
- VASP energy: -3.09 eV per atom
- Density: 5.96 g cm⁻³
- Fermi-level density of states: 0.3325 states/eV per atom

Cell: 4.9767 5.6030 11.2395 Å, 79.07 89.88 63.59°
With the nearest neighbours (Å) after each atom.
Sites, in units of the cell vectors:
Na1 0.3409 0.3168 0.4349  3 Na 3.21-3.59, 3 Bi 3.26-3.34
Na2 0.0000 0.0000 0.0000  6 Bi 3.21-3.37
Na3 0.6591 0.6832 0.5651  3 Na 3.21-3.59, 3 Bi 3.26-3.34
Ca1 0.3389 0.3225 0.7847  7 Bi 3.37-3.54, 4 Na 3.61-3.70
Ca2 0.6611 0.6775 0.2153  7 Bi 3.37-3.54, 4 Na 3.61-3.70
Bi1 0.6746 0.6482 0.9033  3 Na 3.21-3.37, 4 Ca 3.37-3.54, 2 Bi 3.42-3.44
Bi2 0.0015 0.9949 0.3408  4 Na 3.26-3.64, 3 Ca 3.41-3.42, 1 Bi 3.59
Bi3 0.9985 0.0051 0.6592  4 Na 3.26-3.64, 3 Ca 3.41-3.42, 1 Bi 3.59
Bi4 0.3254 0.3518 0.0967  3 Na 3.21-3.37, 4 Ca 3.37-3.54, 2 Bi 3.42-3.44

***

7.
# NaCaBi

A relaxed structure of NaCaBi (PBE, Alexandria).

Results
- Formation energy from the elements: -44.09 kJ per mole of atoms
- VASP energy: -2.86 eV per atom
- Density: 4.77 g cm⁻³
- Fermi-level density of states: 0.4369 states/eV per atom

Cell: 4.4669 4.4669 5.7045 Å, 113.05 113.05 90.00°
With the nearest neighbours (Å) after each atom.
Sites, in units of the cell vectors:
Na1 0.6210 0.6210 0.2421  1 Ca 3.01, 1 Bi 3.13
Ca1 0.9375 0.9375 0.8750  1 Na 3.01, 1 Bi 3.36
Bi1 0.2915 0.2915 0.5829  1 Na 3.13, 5 Ca 3.36-3.45

***

8.
# NaCa4Bi4

A relaxed structure of NaCa4Bi4 (PBE, Alexandria).

Results
- Formation energy from the elements: -54.37 kJ per mole of atoms
- VASP energy: -3.32 eV per atom
- Density: 4.92 g cm⁻³
- Fermi-level density of states: 0.5994 states/eV per atom

Cell: 6.4397 10.3364 10.3364 Å, 90.00 90.00 90.00°
With the nearest neighbours (Å) after each atom.
Sites, in units of the cell vectors:
Na1 0.0000 0.0000 0.0000  4 Bi 3.30
Na2 0.5000 0.5000 0.5000  4 Bi 3.30
Ca1 0.3988 0.3330 0.8974  5 Bi 3.26-3.31
Ca2 0.8988 0.6026 0.8330  5 Bi 3.26-3.31
Ca3 0.3988 0.6670 0.1026  5 Bi 3.26-3.31
Ca4 0.1012 0.1670 0.6026  5 Bi 3.26-3.31
Ca5 0.6012 0.8974 0.6670  5 Bi 3.26-3.31
Ca6 0.1012 0.8330 0.3974  5 Bi 3.26-3.31
Ca7 0.8988 0.3974 0.1670  5 Bi 3.26-3.31
Ca8 0.6012 0.1026 0.3330  5 Bi 3.26-3.31
Bi1 0.6004 0.7849 0.3710  1 Bi 3.24, 5 Ca 3.26-3.31, 1 Na 3.30
Bi2 0.6004 0.2151 0.6290  1 Bi 3.24, 5 Ca 3.26-3.31, 1 Na 3.30
Bi3 0.1004 0.8710 0.7151  1 Bi 3.24, 5 Ca 3.26-3.31, 1 Na 3.30
Bi4 0.8996 0.2849 0.8710  1 Bi 3.24, 5 Ca 3.26-3.31, 1 Na 3.30
Bi5 0.8996 0.7151 0.1290  1 Bi 3.24, 5 Ca 3.26-3.31, 1 Na 3.30
Bi6 0.3996 0.3710 0.2151  1 Bi 3.24, 5 Ca 3.26-3.31, 1 Na 3.30
Bi7 0.3996 0.6290 0.7849  1 Bi 3.24, 5 Ca 3.26-3.31, 1 Na 3.30
Bi8 0.1004 0.1290 0.2849  1 Bi 3.24, 5 Ca 3.26-3.31, 1 Na 3.30

***

9.
# NaCa8Bi6

A relaxed structure of NaCa8Bi6 (PBE, Alexandria).

Results
- Formation energy from the elements: -73.55 kJ per mole of atoms
- VASP energy: -3.47 eV per atom
- Density: 5.01 g cm⁻³
- Fermi-level density of states: 0.5447 states/eV per atom

Cell: 9.4615 9.4615 8.7441 Å, 57.25 57.25 60.00°
With the nearest neighbours (Å) after each atom.
Sites, in units of the cell vectors:
Na1 0.0000 0.0000 0.0000  6 Bi 3.59, 6 Ca 3.65
Ca1 0.5824 0.2194 0.3029  5 Bi 3.20-3.56
Ca2 0.7806 0.1047 0.6971  5 Bi 3.20-3.56
Ca3 0.1047 0.4176 0.6971  5 Bi 3.20-3.56
Ca4 0.6676 0.6676 0.9971  6 Bi 3.41-3.46
Ca5 0.3324 0.3324 0.0029  6 Bi 3.41-3.46
Ca6 0.8953 0.5824 0.3029  5 Bi 3.20-3.56
Ca7 0.2194 0.8953 0.3029  5 Bi 3.20-3.56
Ca8 0.4176 0.7806 0.6971  5 Bi 3.20-3.56
Bi1 0.4198 0.0695 0.7824  7 Ca 3.20-3.56
Bi2 0.9305 0.2718 0.2176  7 Ca 3.20-3.56
Bi3 0.2718 0.5802 0.2176  7 Ca 3.20-3.56
Bi4 0.7282 0.4198 0.7824  7 Ca 3.20-3.56
Bi5 0.0695 0.7282 0.7824  7 Ca 3.20-3.56
Bi6 0.5802 0.9305 0.2176  7 Ca 3.20-3.56

***

10.
# NaCa4Bi5

A relaxed structure of NaCa4Bi5 (PBE, Alexandria).

Results
- Formation energy from the elements: -60.84 kJ per mole of atoms
- VASP energy: -3.50 eV per atom
- Density: 6.57 g cm⁻³
- Fermi-level density of states: 0.3804 states/eV per atom

Cell: 3.7140 3.7140 22.5098 Å, 90.00 90.00 90.00°
With the nearest neighbours (Å) after each atom.
Sites, in units of the cell vectors:
Na1 0.0000 0.0000 0.0000  8 Bi 3.52, 4 Na 3.71
Ca1 0.0000 0.0000 0.2038  8 Bi 3.46, 4 Ca 3.71
Ca2 0.0000 0.0000 0.4020  8 Bi 3.43, 4 Ca 3.71
Ca3 0.0000 0.0000 0.5980  8 Bi 3.43, 4 Ca 3.71
Ca4 0.0000 0.0000 0.7962  8 Bi 3.46, 4 Ca 3.71
Bi1 0.5000 0.5000 0.1040  4 Ca 3.46, 4 Na 3.52, 4 Bi 3.71
Bi2 0.5000 0.5000 0.3038  8 Ca 3.43-3.46, 4 Bi 3.71
Bi3 0.5000 0.5000 0.5000  8 Ca 3.43, 4 Bi 3.71
Bi4 0.5000 0.5000 0.6962  8 Ca 3.43-3.46, 4 Bi 3.71
Bi5 0.5000 0.5000 0.8960  4 Ca 3.46, 4 Na 3.52, 4 Bi 3.71